Compound: PbI2Br
Source: Alexandria via LeMat-Bulk
Functional: PBE-GGA
Structure: optimized geometry

Values from the calculation:
E_form (uncorrected) in eV/atom: -0.16
Crystal system: cubic
Fermi-level density of states in states/eV/f.u.: 4.46
ΔE to the lowest computed polymorph in eV per atom: 0.218

Unit cell a=5.735 b=5.735 c=5.735 alpha=60.00 beta=60.00 gamma=60.00
Each line ends with the local moment (μB).
Fractional coordinates of all 4 atoms:
Pb (0.500, 0.500, 0.500)  0.00
I (0.250, 0.250, 0.250)  0.19
I (0.750, 0.750, 0.750)  0.19
Br (0.000, 0.000, 0.000)  0.36